Record 1
Below is a relaxed structure of TeSeBr2, with properties calculated at the PBE level.

a b c (Å): 5.581 5.581 3.353
angles (deg): 90.00 90.00 107.33
Fractional positions:
Br 0.000 0.000 0.000
Br 0.500 0.500 0.000
Se 0.500 0.000 0.500
Te 0.000 0.500 0.500

Output
E above lowest polymorph: 709 meV/atom
spin magnetization: 0.000 Bohr magnetons per cell
formation energy (no corrections): 2.168 eV per formula unit
DOS at the Fermi energy: 0.992 states/eV/atom
calculated total energy: -1.951 eV/atom
crystal system: orthorhombic

---

Record 2
Below is a relaxed structure of PmGa3Ru, with properties calculated at the PBE level.

a b c (Å): 5.825 7.556 9.471
angles (deg): 90.00 90.00 90.00
Fractional positions:
Pm 0.500 0.400 0.750
Pm 0.000 0.900 0.250
Pm 0.500 0.600 0.250
Pm 0.000 0.100 0.750
Ga 0.750 0.250 0.049
Ga 0.750 0.750 0.549
Ga 0.750 0.750 0.951
Ga 0.250 0.750 0.549
Ga 0.250 0.750 0.951
Ga 0.250 0.250 0.451
Ga 0.250 0.250 0.049
Ga 0.750 0.250 0.451
Ga 0.500 0.953 0.750
Ga 0.000 0.453 0.250
Ga 0.500 0.047 0.250
Ga 0.000 0.547 0.750
Ru 0.000 0.500 0.000
Ru 0.500 0.000 0.500
Ru 0.500 0.000 0.000
Ru 0.000 0.500 0.500

Output
E above lowest polymorph: 168 meV/atom
E_form: -0.3976 eV per atom
spin magnetization: 0.286 Bohr magnetons per cell
DOS at the Fermi energy: 0.764 states/eV/atom
calculated total energy: -5.019 eV/atom
crystal system: orthorhombic

---

Record 3
Below is a relaxed structure of ErSnPd4, with properties calculated at the PBE level.

a b c (Å): 3.645 5.155 6.850
angles (deg): 104.52 74.57 69.30
Fractional positions:
Er 0.500 0.500 0.500
Sn 0.000 0.000 0.000
Pd 0.818 0.524 0.841
Pd 0.346 0.984 0.323
Pd 0.182 0.476 0.159
Pd 0.654 0.016 0.677

Output
E above lowest polymorph: 0 meV/atom
E_form: -0.6939 eV per atom
spin magnetization: 0.000 Bohr magnetons per cell
DOS at the Fermi energy: 0.445 states/eV/atom
calculated total energy: -5.583 eV/atom
crystal system: monoclinic

---

Record 4
Below is a relaxed structure of Cs3TmCl6, with properties calculated at the PBE level.

a b c (Å): 8.075 8.462 11.523
angles (deg): 90.00 89.73 90.00
Fractional positions:
Cs 0.521 0.939 0.753
Cs 0.500 0.500 0.000
Cs 0.479 0.061 0.247
Cs 0.021 0.561 0.253
Cs 0.000 0.000 0.500
Cs 0.979 0.439 0.747
Tm 0.500 0.500 0.500
Tm 0.000 0.000 0.000
Cl 0.739 0.172 0.955
Cl 0.663 0.245 0.563
Cl 0.603 0.458 0.286
Cl 0.397 0.542 0.714
Cl 0.337 0.755 0.437
Cl 0.261 0.828 0.045
Cl 0.239 0.328 0.455
Cl 0.163 0.255 0.063
Cl 0.103 0.042 0.786
Cl 0.897 0.958 0.214
Cl 0.837 0.745 0.937
Cl 0.761 0.672 0.545

Output
spin magnetization: 0.000 Bohr magnetons per cell
formation energy (no corrections): -21.698 eV per formula unit
DOS at the Fermi energy: 0.000 states/eV/atom
calculated total energy: -3.981 eV/atom
crystal system: monoclinic

---

Record 5
Below is a relaxed structure of Zr3UN3, with properties calculated at the PBE level.

a b c (Å): 6.703 5.939 5.939
angles (deg): 94.86 90.02 90.02
Fractional positions:
Zr 0.750 0.706 0.706
Zr 0.500 0.815 0.185
Zr 0.500 0.185 0.815
Zr 0.000 0.815 0.185
Zr 0.000 0.185 0.815
Zr 0.250 0.294 0.294
U 0.250 0.704 0.704
U 0.750 0.296 0.296
N 0.750 0.000 0.000
N 0.250 0.357 0.661
N 0.250 0.661 0.357
N 0.750 0.643 0.339
N 0.750 0.339 0.643
N 0.250 0.000 0.000

Output
spin magnetization: 0.000 Bohr magnetons per cell
formation energy (no corrections): -7.077 eV per formula unit
DOS at the Fermi energy: 0.857 states/eV/atom
calculated total energy: -9.855 eV/atom
crystal system: orthorhombic